Below is crystalline Zr2Si3Rh5 at its relaxed geometry, with properties calculated at the PBE level.

## Properties
Uncorrected formation energy ... -947 meV per atom
Calculated density ... 8.51 g cm⁻³
M_tot ... 0.0 μB/f.u.
D(E_F) ... 11.48 states/eV/cell

Unit cell a=3.932 b=6.520 c=12.047 alpha=90.00 beta=99.39 gamma=90.00
Positions (direct):
1 Si 0.231 0.226 0.461
2 Si 0.612 0.503 0.224
3 Si 0.769 0.726 0.539
4 Si 0.955 0.471 0.910
5 Si 0.045 0.971 0.090
6 Si 0.388 0.003 0.776
7 Zr 0.521 0.262 0.042
8 Zr 0.479 0.762 0.958
9 Zr 0.825 0.234 0.650
10 Zr 0.175 0.734 0.350
11 Rh 0.056 0.597 0.111
12 Rh 0.402 0.394 0.805
13 Rh 0.873 0.730 0.746
14 Rh 0.293 0.515 0.585
15 Rh 0.709 0.433 0.417
16 Rh 0.291 0.933 0.583
17 Rh 0.127 0.230 0.254
18 Rh 0.707 0.015 0.415
19 Rh 0.944 0.097 0.889
20 Rh 0.598 0.894 0.195